# 1
A plane-wave DFT calculation with PBE was carried out for a geometry-optimized HfTaVRu structure.

Its formation enthalpy at 0 K is -119 kJ/mol of formula units.

The space group is P4mm (No. 99) and the conventional cell measures 3.1828, 3.1828 and 6.5510 Å, with angles of 90.00, 90.00 and 90.00 degrees. The inequivalent atoms are Hf at (0.0000, 0.0000, 0.0000), Ta at (0.0000, 0.0000, 0.4989), V at (0.5000, 0.5000, 0.7393) and Ru at (0.5000, 0.5000, 0.2578).


# 2
A plane-wave DFT calculation with PBE was carried out for a geometry-optimized HfTa2V2Ru5 structure.

Its formation enthalpy at 0 K is -177 kJ/mol of formula units.

The space group is P4/mbm (No. 127) and the conventional cell measures 9.3325, 9.3325 and 3.6109 Å, with angles of 90.00, 90.00 and 90.00 degrees. The inequivalent atoms are Hf at (0.0000, 0.0000, 0.0000), Ta at (0.1727, 0.3273, 0.0000), V at (0.1267, 0.6267, 0.0000), Ru at (0.0000, 0.5000, 0.5000) and Ru at (0.0691, 0.7921, 0.5000).